(1)
Density functional theory data (meta-GGA SCAN) for Zr7In at its PBEsol-relaxed geometry.

a b c (Å): 6.280 6.280 6.280
angles (deg): 60.00 60.00 60.00
Positions (direct):
In1 0.000 0.000 0.000
Zr1 0.000 0.000 0.500
Zr2 0.000 0.500 0.000
Zr3 0.500 0.000 0.000
Zr4 0.500 0.500 0.000
Zr5 0.500 0.000 0.500
Zr6 0.000 0.500 0.500
Zr7 0.500 0.500 0.500

Summary:
Its formation energy is -0.09 eV/atom.

***

(2)
Density functional theory data (meta-GGA SCAN) for Ir at its PBEsol-relaxed geometry.

a b c (Å): 2.715 2.715 4.424
angles (deg): 90.00 90.00 120.00
Positions (direct):
Ir1 0.667 0.333 0.750
Ir2 0.333 0.667 0.250

Summary:
Its formation energy is 0.12 eV/atom. The energy relative to the lowest polymorph listed for this composition comes out at 0.115 eV/atom.

***

(3)
Density functional theory data (meta-GGA SCAN) for Ir at its PBEsol-relaxed geometry.

a b c (Å): 2.710 2.710 2.710
angles (deg): 60.00 60.00 60.00
Positions (direct):
Ir1 0.000 0.000 0.000

Summary:
Its formation energy is 0.00 eV/atom. The energy relative to the lowest polymorph listed for this composition comes out at 0.000 eV/atom.

***

(4)
Density functional theory data (meta-GGA SCAN) for Ir at its PBEsol-relaxed geometry.

a b c (Å): 2.542 2.542 2.542
angles (deg): 90.00 90.00 90.00
Positions (direct):
Ir1 0.500 0.500 0.500

Summary:
Its formation energy is 1.06 eV/atom. The energy relative to the lowest polymorph listed for this composition comes out at 1.063 eV/atom.

***

Repeat the second record exactly.
Density functional theory data (meta-GGA SCAN) for Ir at its PBEsol-relaxed geometry.

a b c (Å): 2.715 2.715 4.424
angles (deg): 90.00 90.00 120.00
Positions (direct):
Ir1 0.667 0.333 0.750
Ir2 0.333 0.667 0.250

Summary:
Its formation energy is 0.12 eV/atom. The energy relative to the lowest polymorph listed for this composition comes out at 0.115 eV/atom.

***

Please write out number 4 again, unchanged.
Density functional theory data (meta-GGA SCAN) for Ir at its PBEsol-relaxed geometry.

a b c (Å): 2.542 2.542 2.542
angles (deg): 90.00 90.00 90.00
Positions (direct):
Ir1 0.500 0.500 0.500

Summary:
Its formation energy is 1.06 eV/atom. The energy relative to the lowest polymorph listed for this composition comes out at 1.063 eV/atom.